Here is a relaxed BaLi8Pt4 crystal from the Alexandria database. Energies are from PBE. Values from VASP.

Properties
**Calculated total energy**: -48.074 eV for the cell shown
**Spin magnetization**: 0.0 μB/f.u.
**Calculated formation energy**: -6.68 eV/f.u.

The structure in Quantum ESPRESSO input format:
```
&SYSTEM
  ibrav = 0, nat = 13, ntyp = 3
/
ATOMIC_SPECIES
Ba 137.33 Ba.upf
Li 6.94 Li.upf
Pt 195.08 Pt.upf
CELL_PARAMETERS angstrom
-4.485 4.485 2.759
4.485 -4.485 2.759
4.485 4.485 -2.759
ATOMIC_POSITIONS crystal
Ba 0.000 0.000 0.000
Li 0.000 0.343 0.343
Li 0.000 0.657 0.657
Li 0.263 0.500 0.763
Li 0.343 0.000 0.343
Li 0.500 0.263 0.763
Li 0.500 0.737 0.237
Li 0.657 0.000 0.657
Li 0.737 0.500 0.237
Pt 0.000 0.000 0.500
Pt 0.000 0.500 0.000
Pt 0.500 0.000 0.000
Pt 0.500 0.500 0.500
```

Here is a relaxed TbCd2Cu2 crystal from the Alexandria database. Energies are from PBE. Values from VASP.

Properties
**Calculated total energy**: -31.020 eV for the cell shown
**Spin magnetization**: 0.0 μB/f.u.
**Calculated formation energy**: -0.86 eV/f.u.

The structure in Quantum ESPRESSO input format:
```
&SYSTEM
  ibrav = 0, nat = 10, ntyp = 3
/
ATOMIC_SPECIES
Tb 158.93 Tb.upf
Cd 112.41 Cd.upf
Cu 63.55 Cu.upf
CELL_PARAMETERS angstrom
10.247 0.000 0.000
0.000 3.903 0.000
-1.224 0.000 5.087
ATOMIC_POSITIONS crystal
Tb 0.000 0.000 0.000
Tb 0.500 0.500 0.000
Cd 0.143 0.500 0.568
Cd 0.357 0.000 0.432
Cd 0.643 0.000 0.568
Cd 0.857 0.500 0.432
Cu 0.218 0.500 0.112
Cu 0.282 0.000 0.888
Cu 0.718 0.000 0.112
Cu 0.782 0.500 0.888
```

Here is a relaxed Mn2AuI8 crystal from the Alexandria database. Energies are from PBE. Values from VASP.

Properties
**Formation energy without anion corrections**: -0.1992 eV/atom
**Energy relative to the lowest polymorph listed for this composition**: 31 meV/atom
**Calculated total energy**: -36.209 eV for the cell shown
**Spin magnetization**: 9.0 μB/f.u.

The structure in Quantum ESPRESSO input format:
```
&SYSTEM
  ibrav = 0, nat = 11, ntyp = 3
/
ATOMIC_SPECIES
Mn 54.94 Mn.upf
Au 196.97 Au.upf
I 126.90 I.upf
CELL_PARAMETERS angstrom
6.524 -5.262 0.000
6.524 5.262 0.000
-0.134 0.000 7.307
ATOMIC_POSITIONS crystal
Mn 0.234 0.234 0.185
Mn 0.766 0.766 0.815
Au 0.000 0.000 0.500
I 0.075 0.712 0.677
I 0.256 0.256 0.835
I 0.288 0.925 0.323
I 0.421 0.421 0.307
I 0.579 0.579 0.693
I 0.712 0.075 0.677
I 0.744 0.744 0.165
I 0.925 0.288 0.323
```